First-principles (PBE-GGA) data for crystalline AcAu4Se at its relaxed geometry, as listed in Alexandria via LeMat-Bulk.

Unit cell a=8.120 b=8.120 c=8.120 alpha=90.00 beta=90.00 gamma=90.00
Space group F-43m (No. 216)
One atom of each set of equivalent atoms:
Ac: 0.000 0.000 0.000 [4 per cell]
Au: 0.124 0.124 0.376 [16 per cell]
Se: 0.250 0.250 0.750 [4 per cell]

## Properties
magnetic moment = 0.0 μB per cell
E_form (uncorrected) = -0.5443 eV/atom